# 1
The following is a PBE calculation of a geometry-optimized KCd2As2 structure, from Alexandria.

Properties
For the density of states at the Fermi level, the calculation gives 0.76 states/eV/f.u. The calculation puts the formation energy at -280 meV per atom. The offset from the most stable computed form comes out at 0.0 meV/atom. As for the volume: 26.217 Å³ per atom.

Geometry as CIF:
```
data_KCd2As2
_chemical_formula_sum 'K2 Cd4 As4'
_space_group_name_H-M_alt 'P 4/n m m'
_space_group_IT_number 129
_cell_length_a 4.8663
_cell_length_b 4.8663
_cell_length_c 11.0708
_cell_angle_alpha 90.00
_cell_angle_beta 90.00
_cell_angle_gamma 90.00
loop_
_space_group_symop_operation_xyz
'x,y,z'
'-x,-y,-z'
'-y+1/2,x,z'
'y+1/2,-x,-z'
'-x+1/2,-y+1/2,z'
'x+1/2,y+1/2,-z'
'y,-x+1/2,z'
'-y,x+1/2,-z'
'x+1/2,-y,-z'
'-x+1/2,y,z'
'-y,-x,-z'
'y,x,z'
'-x,y+1/2,-z'
'x,-y+1/2,z'
'y+1/2,x+1/2,-z'
'-y+1/2,-x+1/2,z'
loop_
_atom_site_label
_atom_site_type_symbol
_atom_site_fract_x
_atom_site_fract_y
_atom_site_fract_z
K1 K 0.2500 0.2500 0.2369
Cd1 Cd 0.2500 0.2500 0.8758
Cd2 Cd 0.2500 0.7500 0.5000
As1 As 0.2500 0.2500 0.6303
As2 As 0.2500 0.7500 0.0000
```



# 2
The following is a PBE calculation of a geometry-optimized GdZrAgPd structure, from Alexandria.

Properties
For the density of states at the Fermi level, the calculation gives 4.82 states/eV/f.u. The calculation puts the formation energy at -330 meV per atom. As for the volume: 21.503 Å³ per atom.

Geometry as CIF:
```
data_GdZrAgPd
_chemical_formula_sum 'Gd4 Zr4 Ag4 Pd4'
_space_group_name_H-M_alt 'F -4 3 m'
_space_group_IT_number 216
_space_group_name_Hall 'F -4 2 3'
_cell_length_a 7.0071
_cell_length_b 7.0071
_cell_length_c 7.0071
_cell_angle_alpha 90.00
_cell_angle_beta 90.00
_cell_angle_gamma 90.00
loop_
_atom_site_label
_atom_site_type_symbol
_atom_site_fract_x
_atom_site_fract_y
_atom_site_fract_z
Gd1 Gd 0.0000 0.0000 0.0000
Zr1 Zr 0.0000 0.0000 0.5000
Ag1 Ag 0.2500 0.2500 0.7500
Pd1 Pd 0.2500 0.2500 0.2500
```



# 3
The following is a PBE calculation of a geometry-optimized La7TlI12 structure, from Alexandria.

Properties
For the density of states at the Fermi level, the calculation gives 13.58 states/eV/f.u. The value obtained for the energy relative to the elements, uncorrected is -1.2984 eV/atom. As for the volume: 43.060 Å³ per atom.

Geometry as CIF:
```
data_La7TlI12
_chemical_formula_sum 'La21 Tl3 I36'
_space_group_name_H-M_alt 'R -3'
_space_group_IT_number 148
_space_group_name_Hall '-R 3'
_cell_length_a 16.6647
_cell_length_b 16.6647
_cell_length_c 10.7424
_cell_angle_alpha 90.00
_cell_angle_beta 90.00
_cell_angle_gamma 120.00
loop_
_atom_site_label
_atom_site_type_symbol
_atom_site_fract_x
_atom_site_fract_y
_atom_site_fract_z
La1 La 0.0000 0.0000 0.0000
La2 La 0.0488 0.1697 0.3273
Tl1 Tl 0.0000 0.0000 0.5000
I1 I 0.0287 0.5899 0.1667
I2 I 0.0538 0.1892 0.8456
```



# 4
The following is a PBE calculation of a geometry-optimized Sr2CoTe structure, from Alexandria.

Properties
For the density of states at the Fermi level, the calculation gives 3.59 states/eV/f.u. The value obtained for the energy relative to the elements, uncorrected is -0.3705 eV/atom. As for the volume: 30.168 Å³ per atom.

Geometry as CIF:
```
data_Sr2CoTe
_chemical_formula_sum 'Sr2 Co1 Te1'
_space_group_name_H-M_alt 'P 4/m m m'
_space_group_IT_number 123
_space_group_name_Hall '-P 4 2'
_cell_length_a 4.0144
_cell_length_b 4.0144
_cell_length_c 7.4877
_cell_angle_alpha 90.00
_cell_angle_beta 90.00
_cell_angle_gamma 90.00
loop_
_atom_site_label
_atom_site_type_symbol
_atom_site_fract_x
_atom_site_fract_y
_atom_site_fract_z
Sr1 Sr 0.0000 0.0000 0.2424
Co1 Co 0.5000 0.5000 0.0000
Te1 Te 0.5000 0.5000 0.5000
```



# 5
The following is a PBE calculation of a geometry-optimized La3Ag2 structure, from Alexandria.

Properties
For the density of states at the Fermi level, the calculation gives 5.33 states/eV/f.u. The calculation puts the formation energy at -199 meV per atom. The offset from the most stable computed form comes out at 3.2 meV/atom. As for the volume: 29.783 Å³ per atom.

Geometry as CIF:
```
data_La3Ag2
_chemical_formula_sum 'La6 Ag4'
_space_group_name_H-M_alt 'I 4/m m m'
_space_group_IT_number 139
_space_group_name_Hall '-I 4 2'
_cell_length_a 3.8283
_cell_length_b 3.8283
_cell_length_c 20.3221
_cell_angle_alpha 90.00
_cell_angle_beta 90.00
_cell_angle_gamma 90.00
loop_
_atom_site_label
_atom_site_type_symbol
_atom_site_fract_x
_atom_site_fract_y
_atom_site_fract_z
La1 La 0.0000 0.0000 0.0000
La2 La 0.0000 0.0000 0.1863
Ag1 Ag 0.0000 0.0000 0.4045
```



# 6
The following is a PBE calculation of a geometry-optimized ZnCoHg4 structure, from Alexandria.

Properties
For the density of states at the Fermi level, the calculation gives 8.96 states/eV/f.u. The calculation puts the formation energy at 716 meV per atom. As for the volume: 23.077 Å³ per atom.

Geometry as CIF:
```
data_ZnCoHg4
_chemical_formula_sum 'Zn4 Co4 Hg16'
_space_group_name_H-M_alt 'F -4 3 m'
_space_group_IT_number 216
_space_group_name_Hall 'F -4 2 3'
_cell_length_a 8.2122
_cell_length_b 8.2122
_cell_length_c 8.2122
_cell_angle_alpha 90.00
_cell_angle_beta 90.00
_cell_angle_gamma 90.00
loop_
_atom_site_label
_atom_site_type_symbol
_atom_site_fract_x
_atom_site_fract_y
_atom_site_fract_z
Zn1 Zn 0.0000 0.0000 0.0000
Co1 Co 0.2500 0.2500 0.7500
Hg1 Hg 0.1246 0.1246 0.3754
```